[1]
The following is a DFT calculation (PBE) of an optimized crystal structure of TlSi2As.

Cell and atoms, written as extended XYZ:
```
16
Lattice="6.897 0.000 0.000 0.000 6.897 0.000 0.000 0.000 6.897" Properties=species:S:1:pos:R:3 pbc="T T T"
Tl 0.000 0.000 0.000
Tl 0.000 3.449 3.449
Tl 3.449 0.000 3.449
Tl 3.449 3.449 0.000
Si 1.724 1.724 1.724
Si 1.724 1.724 5.173
Si 1.724 5.173 1.724
Si 1.724 5.173 5.173
Si 5.173 1.724 1.724
Si 5.173 1.724 5.173
Si 5.173 5.173 1.724
Si 5.173 5.173 5.173
As 0.000 0.000 3.449
As 0.000 3.449 0.000
As 3.449 0.000 0.000
As 3.449 3.449 3.449
```

Calculated values
M_tot = 0.000 μB per cell
crystal system = cubic
total DFT energy (no corrections) = -3.789 eV per atom
space-group type = Fm-3m (225)

***

[2]
The following is a DFT calculation (PBE) of an optimized crystal structure of BaLi2Sc.

Cell and atoms, written as extended XYZ:
```
12
Lattice="3.568 0.000 0.000 -1.784 3.090 0.000 0.000 0.000 32.575" Properties=species:S:1:pos:R:3 pbc="T T T"
Ba 0.000 0.000 0.000
Ba 0.000 2.060 21.717
Ba 1.784 1.030 10.858
Li 0.000 0.000 16.179
Li 0.000 0.000 24.784
Li 0.000 2.060 5.321
Li 0.000 2.060 13.925
Li 1.784 1.030 3.067
Li 1.784 1.030 27.038
Sc 0.000 0.000 7.770
Sc 0.000 2.060 29.487
Sc 1.784 1.030 18.629
```

Calculated values
M_tot = 1.889 μB per cell
crystal system = trigonal
energy of formation = 0.308 eV per atom
space-group type = R3m (160)

***

[3]
The following is a DFT calculation (PBE) of an optimized crystal structure of Na3Be2IrO6.

Cell and atoms, written as extended XYZ:
```
12
Lattice="5.336 0.000 0.000 -2.668 4.621 0.000 0.000 0.000 6.068" Properties=species:S:1:pos:R:3 pbc="T T T"
Na 0.000 0.000 0.000
Na 0.000 3.081 4.467
Na 2.668 1.540 1.601
Be 0.000 3.081 1.829
Be 2.668 1.540 4.239
Ir 0.000 0.000 3.034
O 0.000 1.558 1.804
O -1.319 3.842 1.804
O 1.349 0.779 4.264
O 1.319 3.842 1.804
O 3.987 0.779 4.264
O 2.668 3.063 4.264
```

Calculated values
M_tot = 1.840 μB per cell
crystal system = trigonal
total DFT energy (no corrections) = -5.763 eV per atom
space-group type = P-3m1 (164)

***

[4]
The following is a DFT calculation (PBE) of an optimized crystal structure of SrCrCu3Se4.

Cell and atoms, written as extended XYZ:
```
9
Lattice="6.057 0.000 0.000 0.000 6.057 0.000 0.000 0.000 6.057" Properties=species:S:1:pos:R:3 pbc="T T T"
Sr 0.000 0.000 0.000
Cr 3.029 3.029 3.029
Cu 0.000 3.029 3.029
Cu 3.029 0.000 3.029
Cu 3.029 3.029 0.000
Se 1.665 1.665 4.393
Se 1.665 4.393 1.665
Se 4.393 1.665 1.665
Se 4.393 4.393 4.393
```

Calculated values
M_tot = 3.000 μB per cell
crystal system = cubic
total DFT energy (no corrections) = -4.654 eV per atom
space-group type = P-43m (215)

***

[5]
The following is a DFT calculation (PBE) of an optimized crystal structure of K2CoAs.

Cell and atoms, written as extended XYZ:
```
8
Lattice="6.986 0.000 0.000 0.000 4.027 0.000 -2.101 0.000 9.434" Properties=species:S:1:pos:R:3 pbc="T T T"
K 0.000 0.000 0.000
K -0.003 0.000 4.931
K 3.493 2.013 0.000
K 3.490 2.013 4.931
Co 1.163 2.013 2.466
Co 4.656 0.000 2.466
As 2.328 0.000 2.465
As 5.821 2.013 2.465
```

Calculated values
M_tot = 0.636 μB per cell
crystal system = monoclinic
energy of formation = -0.049 eV per atom
space-group type = Cm (8)

***

[6]
The following is a DFT calculation (PBE) of an optimized crystal structure of Ac8Ir2RuRh.

Cell and atoms, written as extended XYZ:
```
12
Lattice="6.981 0.000 0.000 0.000 8.874 0.000 -0.005 0.000 7.149" Properties=species:S:1:pos:R:3 pbc="T T T"
Ac 1.562 2.191 2.324
Ac 1.562 6.683 2.324
Ac 1.897 0.000 5.893
Ac 1.916 4.437 5.910
Ac 5.060 4.437 1.239
Ac 5.079 0.000 1.256
Ac 5.414 2.191 4.825
Ac 5.414 6.683 4.825
Ir 3.491 2.218 0.000
Ir 3.491 6.655 0.000
Ru -0.003 0.000 3.574
Rh -0.003 4.437 3.574
```

Calculated values
M_tot = 0.000 μB per cell
crystal system = monoclinic
energy of formation = -0.476 eV per atom
space-group type = P2/m (10)

***

[7]
The following is a DFT calculation (PBE) of an optimized crystal structure of Mg2ZnPd2.

Cell and atoms, written as extended XYZ:
```
10
Lattice="6.751 0.000 0.000 0.000 6.751 0.000 0.000 0.000 3.806" Properties=species:S:1:pos:R:3 pbc="T T T"
Mg 1.069 2.306 0.000
Mg 2.306 5.682 0.000
Mg 4.444 1.069 0.000
Mg 5.682 4.444 0.000
Zn 0.000 0.000 1.903
Zn 3.375 3.375 1.903
Pd 0.983 4.358 1.903
Pd 2.392 0.983 1.903
Pd 4.358 5.768 1.903
Pd 5.768 2.392 1.903
```

Calculated values
M_tot = 0.000 μB per cell
crystal system = tetragonal
energy of formation = -0.547 eV per atom
space-group type = P4/mbm (127)

***

[8]
The following is a DFT calculation (PBE) of an optimized crystal structure of NaTl2In.

Cell and atoms, written as extended XYZ:
```
8
Lattice="3.320 0.000 0.000 0.000 5.874 0.000 0.000 0.000 12.845" Properties=species:S:1:pos:R:3 pbc="T T T"
Na 0.000 0.000 0.000
Na 1.660 2.937 6.423
Tl 0.000 0.000 3.349
Tl 0.000 0.000 9.496
Tl 1.660 2.937 3.074
Tl 1.660 2.937 9.771
In 0.000 0.000 6.423
In 1.660 2.937 0.000
```

Calculated values
M_tot = 0.000 μB per cell
crystal system = orthorhombic
energy of formation = 0.048 eV per atom
space-group type = Immm (71)

***

[9]
The following is a DFT calculation (PBE) of an optimized crystal structure of Pr4Pu3Se8.

Cell and atoms, written as extended XYZ:
```
15
Lattice="4.162 2.403 7.678 -4.162 2.403 7.678 0.000 -4.806 7.678" Properties=species:S:1:pos:R:3 pbc="T T T"
Pr 0.000 0.000 0.000
Pr 0.000 0.000 3.414
Pr 0.000 0.000 11.518
Pr 0.000 0.000 19.621
Pu -2.081 -1.201 7.678
Pu -2.081 1.201 15.357
Pu 0.000 2.403 7.678
Se 0.000 -2.356 9.526
Se -2.041 1.178 9.526
Se -2.041 -1.178 13.509
Se 0.000 0.000 6.204
Se 0.000 0.000 16.832
Se 2.041 1.178 9.526
Se 2.041 -1.178 13.509
Se 0.000 2.356 13.509
```

Calculated values
M_tot = 17.396 μB per cell
crystal system = trigonal
total DFT energy (no corrections) = -7.490 eV per atom
space-group type = R-3m (166)

***

[10]
The following is a DFT calculation (PBE) of an optimized crystal structure of ZnAg2Cl4.

Cell and atoms, written as extended XYZ:
```
14
Lattice="6.740 0.000 0.000 0.000 6.740 0.000 0.000 0.000 8.340" Properties=species:S:1:pos:R:3 pbc="T T T"
Zn 0.000 0.000 0.000
Zn 3.370 3.370 4.170
Ag 0.000 3.370 0.000
Ag 0.000 3.370 4.170
Ag 3.370 0.000 0.000
Ag 3.370 0.000 4.170
Cl 1.414 1.414 7.194
Cl 1.414 5.326 1.146
Cl 1.956 1.956 3.024
Cl 1.956 4.784 5.316
Cl 4.784 1.956 5.316
Cl 4.784 4.784 3.024
Cl 5.326 1.414 1.146
Cl 5.326 5.326 7.194
```

Calculated values
M_tot = 0.000 μB per cell
crystal system = tetragonal
total DFT energy (no corrections) = -2.765 eV per atom
space-group type = I-42m (121)

***

[11]
The following is a DFT calculation (PBE) of an optimized crystal structure of HfTaNb2H.

Cell and atoms, written as extended XYZ:
```
5
Lattice="4.606 0.000 0.000 0.000 4.606 0.000 0.000 0.000 3.731" Properties=species:S:1:pos:R:3 pbc="T T T"
Hf 0.000 0.000 0.000
Ta 2.303 2.303 0.000
Nb 0.000 2.303 1.866
Nb 2.303 0.000 1.866
H 2.303 2.303 1.866
```

Calculated values
M_tot = 0.000 μB per cell
crystal system = tetragonal
total DFT energy (no corrections) = -9.043 eV per atom
space-group type = P4/mmm (123)

***

[12]
The following is a DFT calculation (PBE) of an optimized crystal structure of Gd2Ni4B.

Cell and atoms, written as extended XYZ:
```
14
Lattice="3.908 0.000 0.000 0.000 3.908 0.000 0.000 0.000 14.822" Properties=species:S:1:pos:R:3 pbc="T T T"
Gd 0.000 0.000 2.371
Gd 0.000 0.000 12.452
Gd 1.954 1.954 5.040
Gd 1.954 1.954 9.782
Ni 0.000 0.000 5.482
Ni 0.000 0.000 9.341
Ni 0.000 1.954 0.000
Ni 0.000 1.954 7.411
Ni 1.954 0.000 0.000
Ni 1.954 0.000 7.411
Ni 1.954 1.954 1.929
Ni 1.954 1.954 12.893
B 0.000 0.000 7.411
B 1.954 1.954 0.000
```

Calculated values
M_tot = 28.610 μB per cell
crystal system = tetragonal
energy of formation = -0.328 eV per atom
space-group type = I4/mmm (139)

***

Question: What is the M_tot in the eighth record?
Answer: 0.000 μB per cell